Record 1
Material: InReSi2
Method: DFT, GGA-PBE
State: optimized geometry

The total energy is -6.01 eV/atom. The total magnetization is 0.0 μB/f.u.

a b c (Å): 3.2874 4.6762 8.3317
angles (deg): 90.00 90.00 90.00
With the nearest neighbours (Å) after each atom.
Space group Imm2 (No. 44)
Unique sites:
In 0.0000 0.0000 0.0000  8 Si 2.74-3.06, 4 Re 2.86-2.97
Re 0.0000 0.5000 0.7810  2 Si 2.55
Si 0.0000 0.0000 0.5144  2 Si 2.47, 2 Re 2.55
Si 0.0000 0.5000 0.2363  2 Si 2.47, 2 In 2.74

Record 2
Material: TaRe2Hg
Method: DFT, GGA-PBE
State: optimized geometry

For the formation enthalpy at 0 K, the calculation gives 1138 meV/atom. The total magnetization is 0.0 μB/f.u.

a b c (Å): 7.4450 7.4450 5.4655
angles (deg): 90.00 90.00 90.00
With the nearest neighbours (Å) after each atom.
Space group I-42d (No. 122)
Unique sites:
Ta 0.0000 0.0000 0.0000  4 Re 2.59, 2 Hg 2.73
Re 0.2234 0.7500 0.1250  2 Ta 2.59, 2 Re 2.76, 2 Hg 2.86
Hg 0.0000 0.0000 0.5000  2 Ta 2.73, 4 Re 2.86

Record 3
Material: AlInRh2
Method: DFT, GGA-PBE
State: optimized geometry

For the formation enthalpy at 0 K, the calculation gives -662 meV/atom. The total magnetization is 0.0 μB/f.u.

a b c (Å): 4.3608 4.3608 3.2317
angles (deg): 90.00 90.00 90.00
With the nearest neighbours (Å) after each atom.
Space group P4/mmm (No. 123)
Unique sites:
Al 0.0000 0.0000 0.0000  8 Rh 2.71
In 0.5000 0.5000 0.0000  8 Rh 2.71
Rh 0.0000 0.5000 0.5000  4 In 2.71, 4 Al 2.71

Record 4
Material: PrCu4Bi
Method: DFT, GGA-PBE
State: optimized geometry

For the formation enthalpy at 0 K, the calculation gives -83 meV/atom. The total magnetization is 0.0 μB/f.u.

a b c (Å): 7.5772 7.5772 7.5772
angles (deg): 90.00 90.00 90.00
With the nearest neighbours (Å) after each atom.
Space group F-43m (No. 216)
Unique sites:
Pr 0.0000 0.0000 0.0000  12 Cu 3.14, 4 Bi 3.28
Cu 0.1252 0.1252 0.3748  6 Cu 2.67-2.68
Bi 0.2500 0.2500 0.7500  12 Cu 3.14, 4 Pr 3.28

Record 5
Material: LaCd2Sn
Method: DFT, GGA-PBE
State: optimized geometry

For the formation enthalpy at 0 K, the calculation gives 153 meV/atom. The total magnetization is 0.0 μB/f.u.

a b c (Å): 3.3813 3.3813 35.2457
angles (deg): 90.00 90.00 120.00
With the nearest neighbours (Å) after each atom.
Space group R-3m (No. 166, hexagonal axes)
Unique sites:
La 0.0000 0.0000 0.0000  2 Cd 3.26, 6 La 3.38
Cd 0.0000 0.0000 0.0926  3 Sn 3.26, 1 La 3.26, 6 Cd 3.38
Sn 0.0000 0.0000 0.5000  6 Cd 3.26, 6 Sn 3.38

Record 6
Material: Mg2GeIr
Method: DFT, GGA-PBE
State: optimized geometry

For the formation enthalpy at 0 K, the calculation gives -141 meV/atom. The total magnetization is 0.0 μB/f.u.

a b c (Å): 9.9841 9.9841 4.6712
angles (deg): 90.00 90.00 90.00
With the nearest neighbours (Å) after each atom.
Space group I4_1/amd (No. 141, origin choice 2)
Unique sites:
Mg 0.0000 0.0000 0.0000  2 Ir 2.56
Ge 0.0000 0.2500 0.3750  2 Ir 2.34
Ir 0.0000 0.2500 0.8750  2 Ge 2.34, 4 Mg 2.56